This record from Alexandria describes an optimized crystal structure of Ba3LaCd. The functional is PBE-GGA.

a b c (Å): 6.4119 6.4119 6.4119
angles (deg): 90.00 90.00 90.00
Last column: nearest neighbours and their distance in Å.
Sites, in units of the cell vectors:
1 Cd 0.0000 0.0000 0.0000  6 Ba 3.21
2 Ba 0.0000 0.5000 0.0000  2 Cd 3.21
3 Ba 0.0000 0.0000 0.5000  2 Cd 3.21
4 Ba 0.5000 0.0000 0.0000  2 Cd 3.21
5 La 0.5000 0.5000 0.5000  12 Ba 4.53

## Properties
- ρ: 4.178 Mg/m³
- N(E_F): 2.258 states/eV per atom
- DFT total energy: -10.22 eV per cell
- Total moment: 0.00 μB/cell